Entry 1:
The following is a DFT calculation (PBE) of a relaxed Pm3Rh2Pb3 crystal.

The structure in extended XYZ format:
```
32
Lattice="8.6327 0.0000 0.0000 0.0000 15.8651 0.0000 0.0000 0.0000 5.9954" Properties=species:S:1:pos:R:3 pbc="T T T"
Pm 0.2392 1.7905 0.6810
Pm 0.2392 6.1420 0.6810
Pm 1.4236 3.9663 3.8317
Pm 2.8927 11.8988 0.8340
Pm 4.0771 9.7230 3.6787
Pm 4.0771 14.0746 3.6787
Pm 4.5556 1.7905 2.3166
Pm 4.5556 6.1420 2.3166
Pm 5.7400 3.9663 5.1613
Pm 7.2091 11.8988 2.1637
Pm 8.3935 9.7230 5.3143
Pm 8.3935 14.0746 5.3143
Rh 0.7152 9.7758 2.1683
Rh 0.7152 14.0218 2.1683
Rh 3.6012 1.8433 5.1660
Rh 3.6012 6.0893 5.1660
Rh 5.0315 9.7758 0.8294
Rh 5.0315 14.0218 0.8294
Rh 7.9175 1.8433 3.8271
Rh 7.9175 6.0893 3.8271
Pb 1.6179 11.8988 3.7861
Pb 1.6533 0.5135 3.6739
Pb 1.6533 7.4191 3.6739
Pb 2.6630 8.4460 0.6763
Pb 2.6630 15.3516 0.6763
Pb 2.6985 3.9663 0.7885
Pb 5.9342 11.8988 5.2069
Pb 5.9697 0.5135 5.3191
Pb 5.9697 7.4191 5.3191
Pb 6.9794 8.4460 2.3214
Pb 6.9794 15.3516 2.3214
Pb 7.0148 3.9663 2.2092
```

For the formation energy, the calculation gives -0.56 eV/atom. For the raw total energy, the calculation gives -5.57 eV per atom. As for the energy relative to the lowest polymorph listed for this composition: 21 meV per atom. The size of the total moment comes out at 0.00 μB per formula unit.

=====

Entry 2:
The following is a DFT calculation (PBE) of a relaxed TcMoP2Cl crystal.

The structure in extended XYZ format:
```
5
Lattice="4.6785 0.0000 0.0000 0.0000 4.6785 0.0000 0.0000 0.0000 4.8744" Properties=species:S:1:pos:R:3 pbc="T T T"
Tc 0.0000 0.0000 0.0000
Mo 2.3392 2.3392 2.4372
P 0.0000 2.3392 2.4372
P 2.3392 0.0000 2.4372
Cl 2.3392 2.3392 0.0000
```

Its raw formation energy is 937 meV/atom. For the raw total energy, the calculation gives -5.84 eV per atom. As for the energy relative to the lowest polymorph listed for this composition: 44 meV per atom. The size of the total moment comes out at 4.75 μB per formula unit.

=====

Entry 3:
The following is a DFT calculation (PBE) of a relaxed RuPt2 crystal.

The structure in extended XYZ format:
```
6
Lattice="-3.0900 3.0900 2.5283 3.0900 -3.0900 2.5283 3.0900 3.0900 -2.5283" Properties=species:S:1:pos:R:3 pbc="T T T"
Ru 0.0000 0.0000 1.2641
Ru 0.0000 0.0000 3.7924
Pt 3.9997 0.9097 0.0000
Pt 0.9097 2.1804 0.0000
Pt 2.1804 0.9097 2.5283
Pt -0.9097 2.1804 2.5283
```

For the formation energy, the calculation gives 0.35 eV/atom. For the raw total energy, the calculation gives -6.77 eV per atom. The size of the total moment comes out at 0.11 μB per formula unit.